Record 1
First-principles (PBEsol) data for crystalline CaYCl2 at its relaxed geometry, as listed in Alexandria via LeMat-Bulk.

Properties
ΔE_f (raw)	-1105	meV per atom
total moment	0.01	μB per formula unit
excess energy over the best structure of this formula in the dataset	0.308	eV/atom

Cell: 3.4287 4.8309 4.8309 Å, 90.00 90.00 90.00°
With the nearest neighbours (Å) after each atom.
Sites, in units of the cell vectors:
1 Ca 0.5000 0.0000 0.0000  8 Cl 2.96
2 Y 0.5000 0.5000 0.5000  8 Cl 2.96
3 Cl 0.0000 0.5000 0.0000  4 Ca 2.96, 4 Y 2.96
4 Cl 0.0000 0.0000 0.5000  4 Y 2.96, 4 Ca 2.96


Record 2
First-principles (PBEsol) data for crystalline CaZrCl at its relaxed geometry, as listed in Alexandria via LeMat-Bulk.

Properties
ΔE_f (raw)	-547	meV per atom
total moment	0.45	μB per formula unit

Cell: 3.2645 3.2645 6.9542 Å, 99.23 99.23 108.46°
With the nearest neighbours (Å) after each atom.
Sites, in units of the cell vectors:
1 Ca 0.9892 0.9892 0.9784  2 Cl 2.87, 2 Zr 3.20
2 Cl 0.3292 0.3292 0.6583  2 Zr 2.75, 2 Ca 2.87
3 Zr 0.6816 0.6816 0.3632  2 Cl 2.75


Record 3
First-principles (PBEsol) data for crystalline CaCo2 at its relaxed geometry, as listed in Alexandria via LeMat-Bulk.

Properties
total moment	2.95	μB per formula unit
E_form	0.2612	eV per atom

Cell: 3.8856 3.9996 7.9950 Å, 90.00 104.06 90.00°
With the nearest neighbours (Å) after each atom.
Sites, in units of the cell vectors:
1 Ca 0.3955 0.2500 0.7911  8 Co 2.97-3.03
2 Co 0.7509 0.2500 0.5018  4 Co 2.23-2.27
3 Ca 0.6045 0.7500 0.2089  8 Co 2.97-3.03
4 Co 0.8201 0.7500 0.6403  4 Co 2.23-2.27
5 Co 0.1799 0.2500 0.3597  4 Co 2.23-2.27
6 Co 0.2491 0.7500 0.4982  4 Co 2.23-2.27


Look up the total moment of the first one.
0.01 μB per formula unit